Here is a relaxed KFe2Cl crystal from Alexandria. Energies are from GGA-PBEsol.

## Properties
As for the formation energy without anion corrections: 576 meV per atom. For the energy above the most stable polymorph in this dataset, the calculation gives 1.88 eV per formula unit. As for the space group: P4/mmm, No. 123. The calculation puts the magnetic moment at 6.4 Bohr magnetons per cell.

a b c (Å): 3.7698 3.7698 6.3651
angles (deg): 90.00 90.00 90.00
Last column: nearest neighbours and their distance in Å.
Element x y z (fractional)
Fe (0.5000, 0.0000, 0.0000)  4 Fe 2.67
Fe (0.0000, 0.5000, 0.0000)  4 Fe 2.67
K (0.5000, 0.5000, 0.5000)  4 Cl 2.67
Cl (0.0000, 0.0000, 0.5000)  4 K 2.67